Material: Li2NdNpTe4
Method: DFT, GGA-PBE
State: optimized geometry

Values from the calculation:
Its calculated volume is 240.1 Å³ per cell. As for the final energy: -5.2983 eV/atom. As for the total magnetization: 4.00 μB per formula unit. The calculation puts the formation energy from raw total energies at -1.035 eV per atom.

a b c (Å): 7.5103 4.4276 7.6873
angles (deg): 90.00 110.04 90.00
With the nearest neighbours (Å) after each atom.
Space group P2/m (No. 10)
Symmetry-distinct sites (fractional):
Li: 0.0000 0.0000 0.0000 [1 per cell]  6 Te 3.05-3.06
Li: 0.0000 0.5000 0.5000 [1 per cell]  6 Te 3.08-3.09
Nd: 0.5000 0.0000 0.5000 [1 per cell]  6 Te 3.17
Np: 0.5000 0.5000 0.0000 [1 per cell]  6 Te 3.13-3.14
Te: 0.2377 0.5000 0.2426 [2 per cell]  3 Li 3.05-3.09, 1 Np 3.14, 2 Nd 3.17
Te: 0.2416 0.0000 0.7509 [2 per cell]  3 Li 3.06-3.08, 2 Np 3.13, 1 Nd 3.17